Here is LiPa after structural relaxation from Alexandria via LeMat-Bulk. Energies are from PBE-GGA.

Cell lengths 3.1061, 3.1061, 11.0012 Å; angles 90.00, 90.00, 120.00 degrees
Sites, in units of the cell vectors:
Li: 0.6667 0.3333 0.8864
Li: 0.3333 0.6667 0.1136
Pa: 0.6667 0.3333 0.3694
Pa: 0.3333 0.6667 0.6306

## Properties
calculated formation energy: 146 meV per atom
electronic total energy: -5.559 eV/atom
E above lowest polymorph: 0.000 eV per formula unit

***

Here is CaTc2W after structural relaxation from Alexandria via LeMat-Bulk. Energies are from PBE-GGA.

Cell lengths 3.1466, 4.6206, 4.6206 Å; angles 90.00, 90.00, 90.00 degrees
Sites, in units of the cell vectors:
Ca: 0.5000 0.0000 0.5000
Tc: 0.0000 0.0000 0.0000
Tc: 0.0000 0.5000 0.5000
W: 0.5000 0.5000 0.0000

## Properties
calculated formation energy: 559 meV per atom
electronic total energy: -8.362 eV/atom
E above lowest polymorph: 1.040 eV per formula unit

***

Here is Ho6MgCd3 after structural relaxation from Alexandria via LeMat-Bulk. Energies are from PBE-GGA.

Cell lengths 5.3213, 9.2154, 11.6440 Å; angles 108.78, 90.00, 90.00 degrees
Sites, in units of the cell vectors:
Ho: 0.2500 0.4614 0.0879
Ho: 0.7500 0.5386 0.9121
Ho: 0.2500 0.1351 0.1649
Ho: 0.7500 0.8649 0.8351
Ho: 0.2500 0.6571 0.6810
Ho: 0.7500 0.3429 0.3190
Ho: 0.2500 0.2555 0.4929
Ho: 0.7500 0.7445 0.5071
Ho: 0.2500 0.8417 0.2971
Ho: 0.7500 0.1583 0.7029
Ho: 0.2500 0.0917 0.8766
Ho: 0.7500 0.9083 0.1234
Mg: 0.2500 0.9579 0.5891
Mg: 0.7500 0.0421 0.4109
Cd: 0.2500 0.5422 0.3814
Cd: 0.7500 0.4578 0.6186
Cd: 0.2500 0.3735 0.7799
Cd: 0.7500 0.6265 0.2201
Cd: 0.2500 0.7733 0.9767
Cd: 0.7500 0.2267 0.0233

## Properties
calculated formation energy: -163 meV per atom
electronic total energy: -3.344 eV/atom

***

Here is AcPr3Ho6 after structural relaxation from Alexandria via LeMat-Bulk. Energies are from PBE-GGA.

Cell lengths 6.6119, 9.9633, 9.7721 Å; angles 140.47, 109.77, 90.00 degrees
Sites, in units of the cell vectors:
Ac: 0.5000 0.5000 0.0000
Pr: 0.5700 0.9445 0.1399
Pr: 0.4300 0.0555 0.8601
Pr: 0.0000 0.0000 0.0000
Ho: 0.4326 0.5565 0.3728
Ho: 0.0598 0.4435 0.6272
Ho: 0.5674 0.4435 0.6272
Ho: 0.9402 0.5565 0.3728
Ho: 0.1367 0.8560 0.2735
Ho: 0.8633 0.1440 0.7265

## Properties
calculated formation energy: 235 meV per atom
electronic total energy: -4.357 eV/atom
E above lowest polymorph: 1.000 eV per formula unit

***

Here is Li2RuS after structural relaxation from Alexandria via LeMat-Bulk. Energies are from PBE-GGA.

Cell lengths 7.3240, 7.3240, 5.6403 Å; angles 49.51, 49.51, 90.00 degrees
Sites, in units of the cell vectors:
Ru: 0.0000 0.0000 0.0000
Ru: 0.7500 0.2500 0.5000
S: 0.5000 0.5000 0.0000
S: 0.2500 0.7500 0.5000
Li: 0.5636 0.1250 0.2500
Li: 0.1863 0.6250 0.2500
Li: 0.3750 0.4364 0.7500
Li: 0.8750 0.8136 0.7500

## Properties
energy relative to the elements, uncorrected: -0.16 eV per atom
electronic total energy: -4.465 eV/atom

***

Here is BaPS after structural relaxation from Alexandria via LeMat-Bulk. Energies are from PBE-GGA.

Cell lengths 4.7438, 4.4705, 11.1921 Å; angles 90.00, 90.00, 122.04 degrees
Sites, in units of the cell vectors:
P: 0.5887 0.1773 0.0000
P: 0.4321 0.8641 0.5000
S: 0.5844 0.1688 0.3496
S: 0.5844 0.1688 0.6504
Ba: 0.2385 0.4771 0.8279
Ba: 0.2385 0.4771 0.1721

## Properties
energy relative to the elements, uncorrected: -0.78 eV per atom
electronic total energy: -4.597 eV/atom

***

Here is La5Nd4Sm2 after structural relaxation from Alexandria via LeMat-Bulk. Energies are from PBE-GGA.

Cell lengths 3.5923, 9.6257, 12.8836 Å; angles 111.94, 98.01, 90.00 degrees
Sites, in units of the cell vectors:
La: 0.8504 0.0540 0.7008
La: 0.8504 0.6468 0.7008
La: 0.1496 0.3532 0.2992
La: 0.1496 0.9460 0.2992
La: 0.5000 0.0000 0.0000
Nd: 0.0000 0.2999 0.0000
Nd: 0.5951 0.5951 0.1901
Nd: 0.0000 0.7001 0.0000
Nd: 0.4049 0.4049 0.8099
Sm: 0.2694 0.2694 0.5388
Sm: 0.7306 0.7306 0.4612

## Properties
calculated formation energy: 186 meV per atom
electronic total energy: -4.646 eV/atom
E above lowest polymorph: 0.735 eV per formula unit

***

Here is ReAu2Se after structural relaxation from Alexandria via LeMat-Bulk. Energies are from PBE-GGA.

Cell lengths 4.4941, 2.7858, 5.7898 Å; angles 75.99, 90.00, 90.00 degrees
Sites, in units of the cell vectors:
Au: 0.0000 0.9342 0.0051
Au: 0.5000 0.3093 0.2570
Re: 0.0000 0.6789 0.5178
Se: 0.5000 0.5776 0.7200

## Properties
energy relative to the elements, uncorrected: 0.52 eV per atom
electronic total energy: -5.104 eV/atom

***

Here is LiCaInCl4 after structural relaxation from Alexandria via LeMat-Bulk. Energies are from PBE-GGA.

Cell lengths 6.7784, 7.0070, 8.6550 Å; angles 90.00, 108.51, 90.00 degrees
Sites, in units of the cell vectors:
Li: 0.2424 0.7500 0.3202
Li: 0.7576 0.2500 0.6798
Ca: 0.7950 0.7500 0.4506
Ca: 0.2050 0.2500 0.5494
In: 0.7288 0.7500 0.9333
In: 0.2712 0.2500 0.0667
Cl: 0.0000 0.4986 0.7041
Cl: 0.0000 0.9986 0.2959
Cl: 0.0000 0.5014 0.2959
Cl: 0.0000 0.0014 0.7041
Cl: 0.4627 0.7500 0.1610
Cl: 0.5373 0.2500 0.8390
Cl: 0.4775 0.7500 0.5852
Cl: 0.5225 0.2500 0.4148

## Properties
energy relative to the elements, uncorrected: -1.74 eV per atom
electronic total energy: -3.750 eV/atom

***

Here is Zr4PN after structural relaxation from Alexandria via LeMat-Bulk. Energies are from PBE-GGA.

Cell lengths 6.7192, 6.7192, 6.7192 Å; angles 106.47, 106.47, 115.65 degrees
Sites, in units of the cell vectors:
Zr: 0.2762 0.9679 0.6917
Zr: 0.7231 0.4310 0.7079
Zr: 0.7179 0.5262 0.1917
Zr: 0.1810 0.9731 0.2079
Zr: 0.3345 0.5262 0.8083
Zr: 0.7653 0.9731 0.7921
Zr: 0.7231 0.0153 0.2921
Zr: 0.2762 0.5845 0.3083
P: 0.2395 0.2395 0.0000
P: 0.9895 0.4895 0.5000
N: 0.7618 0.7618 0.0000
N: 0.5118 0.0118 0.5000

## Properties
energy relative to the elements, uncorrected: -1.00 eV per atom
electronic total energy: -8.988 eV/atom

***

Here is BaAlAs2Br after structural relaxation from Alexandria via LeMat-Bulk. Energies are from PBE-GGA.

Cell lengths 6.4028, 6.4028, 6.1589 Å; angles 90.00, 90.00, 90.00 degrees
Sites, in units of the cell vectors:
As: 0.0000 0.5000 0.0000
As: 0.5000 0.0000 0.0000
Ba: 0.0000 0.0000 0.0000
Br: 0.0000 0.0000 0.5000
Al: 0.5000 0.5000 0.5000

## Properties
energy relative to the elements, uncorrected: 0.52 eV per atom
electronic total energy: -2.806 eV/atom
E above lowest polymorph: 5.916 eV per formula unit

***

Here is TbVRh6 after structural relaxation from Alexandria via LeMat-Bulk. Energies are from PBE-GGA.

Cell lengths 4.0635, 4.0635, 8.3390 Å; angles 90.00, 90.00, 90.00 degrees
Sites, in units of the cell vectors:
Tb: 0.0000 0.0000 0.0000
V: 0.0000 0.0000 0.5000
Rh: 0.5000 0.0000 0.6668
Rh: 0.0000 0.5000 0.6668
Rh: 0.5000 0.5000 0.1417
Rh: 0.5000 0.5000 0.8583
Rh: 0.0000 0.5000 0.3332
Rh: 0.5000 0.0000 0.3332

## Properties
calculated formation energy: -194 meV per atom
electronic total energy: -7.426 eV/atom

***

Here is KBaFe2 after structural relaxation from Alexandria via LeMat-Bulk. Energies are from PBE-GGA.

Cell lengths 5.0067, 5.0067, 11.3837 Å; angles 77.30, 77.30, 90.00 degrees
Sites, in units of the cell vectors:
K: 0.5000 0.5000 0.0000
K: 0.2500 0.7500 0.5000
Ba: 0.0000 0.0000 0.0000
Ba: 0.7500 0.2500 0.5000
Fe: 0.8752 0.1250 0.2500
Fe: 0.8748 0.6250 0.2500
Fe: 0.3750 0.1248 0.7500
Fe: 0.8750 0.1252 0.7500

## Properties
calculated formation energy: 1185 meV per atom
electronic total energy: -3.801 eV/atom
E above lowest polymorph: 2.179 eV per formula unit

***

Here is Rb2CdI after structural relaxation from Alexandria via LeMat-Bulk. Energies are from PBE-GGA.

Cell lengths 5.0888, 5.0888, 10.1099 Å; angles 75.42, 75.42, 60.00 degrees
Sites, in units of the cell vectors:
I: 0.0000 0.0000 0.0000
Rb: 0.2554 0.2554 0.2339
Rb: 0.7446 0.7446 0.7661
Cd: 0.5000 0.5000 0.5000

## Properties
energy relative to the elements, uncorrected: -0.63 eV per atom
electronic total energy: -1.732 eV/atom
E above lowest polymorph: 0.164 eV per formula unit

***

Here is Th3Ni2Ge3 after structural relaxation from Alexandria via LeMat-Bulk. Energies are from PBE-GGA.

Cell lengths 4.1004, 5.8382, 15.4187 Å; angles 90.00, 90.00, 110.56 degrees
Sites, in units of the cell vectors:
Th: 0.8589 0.7177 0.4068
Th: 0.1411 0.2823 0.9068
Th: 0.8589 0.7177 0.0932
Th: 0.1411 0.2823 0.5932
Th: 0.5784 0.1568 0.2500
Th: 0.4216 0.8432 0.7500
Ni: 0.8465 0.6929 0.8781
Ni: 0.1535 0.3071 0.3781
Ni: 0.8465 0.6929 0.6219
Ni: 0.1535 0.3071 0.1219
Ge: 0.5821 0.1642 0.4436
Ge: 0.4179 0.8358 0.9436
Ge: 0.5821 0.1642 0.0564
Ge: 0.4179 0.8358 0.5564
Ge: 0.2971 0.5941 0.2500
Ge: 0.7029 0.4059 0.7500

## Properties
calculated formation energy: -741 meV per atom
electronic total energy: -6.700 eV/atom

***

Here is Li2GaI after structural relaxation from Alexandria via LeMat-Bulk. Energies are from PBE-GGA.

Cell lengths 7.6143, 7.6143, 6.3610 Å; angles 53.24, 53.24, 90.00 degrees
Sites, in units of the cell vectors:
I: 0.0000 0.0000 0.0000
I: 0.7500 0.2500 0.5000
Ga: 0.5000 0.5000 0.0000
Ga: 0.2500 0.7500 0.5000
Li: 0.6345 0.1250 0.2500
Li: 0.1155 0.6250 0.2500
Li: 0.3750 0.3655 0.7500
Li: 0.8750 0.8845 0.7500

## Properties
energy relative to the elements, uncorrected: -0.31 eV per atom
electronic total energy: -2.415 eV/atom
E above lowest polymorph: 0.000 eV per formula unit

***

Here is Fe3MoH after structural relaxation from Alexandria via LeMat-Bulk. Energies are from PBE-GGA.

Cell lengths 3.6364, 3.6364, 3.6364 Å; angles 90.00, 90.00, 90.00 degrees
Sites, in units of the cell vectors:
H: 0.0000 0.0000 0.0000
Mo: 0.5000 0.5000 0.5000
Fe: 0.0000 0.5000 0.0000
Fe: 0.0000 0.0000 0.5000
Fe: 0.5000 0.0000 0.0000

## Properties
electronic total energy: -7.879 eV/atom
E above lowest polymorph: 0.000 eV per formula unit

***

Here is PrDyY2 after structural relaxation from Alexandria via LeMat-Bulk. Energies are from PBE-GGA.

Cell lengths 3.6011, 3.6011, 10.1920 Å; angles 90.00, 90.00, 90.00 degrees
Sites, in units of the cell vectors:
Pr: 0.5000 0.5000 0.5000
Y: 0.0000 0.0000 0.7558
Y: 0.0000 0.0000 0.2442
Dy: 0.5000 0.5000 0.0000

## Properties
calculated formation energy: 24 meV per atom
electronic total energy: -5.553 eV/atom
E above lowest polymorph: 0.026 eV per formula unit

***

Here is IrRu2Au after structural relaxation from Alexandria via LeMat-Bulk. Energies are from PBE-GGA.

Cell lengths 7.1489, 7.1489, 5.7156 Å; angles 51.29, 51.29, 90.00 degrees
Sites, in units of the cell vectors:
Ru: 0.5840 0.1250 0.2500
Ru: 0.1660 0.6250 0.2500
Ru: 0.3750 0.4160 0.7500
Ru: 0.8750 0.8340 0.7500
Ir: 0.5000 0.5000 0.0000
Ir: 0.2500 0.7500 0.5000
Au: 0.0000 0.0000 0.0000
Au: 0.7500 0.2500 0.5000

## Properties
calculated formation energy: 772 meV per atom
electronic total energy: -6.900 eV/atom
E above lowest polymorph: 2.234 eV per formula unit

***

Here is Cu2TeSe4 after structural relaxation from Alexandria via LeMat-Bulk. Energies are from PBE-GGA.

Cell lengths 7.7170, 7.6421, 7.6421 Å; angles 57.71, 59.68, 59.68 degrees
Sites, in units of the cell vectors:
Te: 0.5000 0.5000 0.0000
Te: 0.0000 0.5000 0.0000
Se: 0.2916 0.1814 0.2354
Se: 0.7084 0.2646 0.3186
Se: 0.2916 0.7354 0.6814
Se: 0.7084 0.8186 0.7646
Se: 0.7881 0.7619 0.2619
Se: 0.8119 0.2381 0.7381
Se: 0.1880 0.7619 0.2619
Se: 0.2119 0.2381 0.7381
Cu: 0.0000 0.0000 0.0000
Cu: 0.0000 0.0000 0.5000
Cu: 0.0000 0.5000 0.5000
Cu: 0.5000 0.0000 0.5000

## Properties
energy relative to the elements, uncorrected: 0.01 eV per atom
electronic total energy: -3.598 eV/atom

***

Here is CoSbTe2Pd after structural relaxation from Alexandria via LeMat-Bulk. Energies are from PBE-GGA.

Cell lengths 5.0823, 5.0823, 4.7037 Å; angles 90.00, 90.00, 90.00 degrees
Sites, in units of the cell vectors:
Sb: 0.0000 0.0000 0.5000
Te: 0.0000 0.5000 0.0000
Te: 0.5000 0.0000 0.0000
Co: 0.0000 0.0000 0.0000
Pd: 0.5000 0.5000 0.5000

## Properties
energy relative to the elements, uncorrected: 0.47 eV per atom
electronic total energy: -4.076 eV/atom
E above lowest polymorph: 0.000 eV per formula unit

***

Here is Y2TaSb after structural relaxation from Alexandria via LeMat-Bulk. Energies are from PBE-GGA.

Cell lengths 3.3057, 3.3057, 9.3059 Å; angles 90.00, 90.00, 94.62 degrees
Sites, in units of the cell vectors:
Sb: 0.5000 0.5000 0.2500
Ta: 0.5000 0.5000 0.7500
Y: 0.0000 0.0000 0.9878
Y: 0.0000 0.0000 0.5122

## Properties
energy relative to the elements, uncorrected: -0.09 eV per atom
electronic total energy: -7.315 eV/atom

***

Here is Cs2LiTl3Br6 after structural relaxation from Alexandria via LeMat-Bulk. Energies are from PBE-GGA.

Cell lengths 8.5181, 8.5181, 8.2343 Å; angles 99.98, 99.98, 120.94 degrees
Sites, in units of the cell vectors:
Cs: 0.3310 0.6690 0.0000
Cs: 0.6690 0.3310 0.0000
Li: 0.0000 0.0000 0.0000
Tl: 0.1561 0.8439 0.5000
Tl: 0.8439 0.1561 0.5000
Tl: 0.5000 0.5000 0.5000
Br: 0.9267 0.6613 0.7762
Br: 0.7737 0.7737 0.2686
Br: 0.0733 0.3387 0.2238
Br: 0.6613 0.9267 0.7762
Br: 0.2263 0.2263 0.7314
Br: 0.3387 0.0733 0.2238

## Properties
energy relative to the elements, uncorrected: -1.24 eV per atom
electronic total energy: -2.965 eV/atom

***

Here is Zn2SnPd5 after structural relaxation from Alexandria via LeMat-Bulk. Energies are from PBE-GGA.

Cell lengths 5.4914, 5.4914, 5.4914 Å; angles 106.07, 106.07, 116.50 degrees
Sites, in units of the cell vectors:
Zn: 0.2777 0.7780 0.5002
Zn: 0.7775 0.2779 0.4998
Sn: 0.7789 0.7786 0.0000
Pd: 0.2783 0.2786 0.5010
Pd: 0.2785 0.7772 0.0000
Pd: 0.7777 0.2783 0.0000
Pd: 0.7773 0.7776 0.4990
Pd: 0.2771 0.2767 0.0000

## Properties
calculated formation energy: -442 meV per atom
electronic total energy: -4.506 eV/atom

***

Total magnetic moment
In order: 0.00 0.00 0.00 0.00 0.97 0.01 0.00 0.00 0.00 0.00 3.92 0.00 5.00 0.21 0.00 0.00 0.00 0.00 0.00 0.00 0.00 0.00 0.00 0.00
Unit: μB/f.u.